Record 1
First-principles (GGA-PBE) data for FeSbW after structural relaxation, as listed in Alexandria via LeMat-Bulk.

The space group is F-43m (No. 216) and the conventional cell measures 6.1902, 6.1902 and 6.1902 Å, with angles of 90.00, 90.00 and 90.00 degrees. The inequivalent atoms are Fe at (0.0000, 0.0000, 0.0000), Sb at (0.0000, 0.0000, 0.5000) and W at (0.2500, 0.2500, 0.2500).

Its density of states at the Fermi level is 2.16 states/eV/f.u. Its raw total energy is -7.82 eV per atom. Its total moment is 0.338 μB per atom. As for the raw formation energy: 0.6903 eV/atom.



Record 2
First-principles (GGA-PBE) data for ThPO4F2 after structural relaxation, as listed in Alexandria via LeMat-Bulk.

The space group is Pmmn (No. 59, origin choice 2) and the conventional cell measures 6.0796, 6.1691 and 6.8701 Å, with angles of 90.00, 90.00 and 90.00 degrees. The inequivalent atoms are Th at (0.2500, 0.2500, 0.1511), P at (0.2500, 0.7500, 0.4978), O at (0.0479, 0.7500, 0.6309), O at (0.2500, 0.5517, 0.3638) and F at (0.0000, 0.0000, 0.0000).

Its density of states at the Fermi level is 1.91 states/eV/f.u. Its raw total energy is -7.46 eV per atom. Its total moment is 0.125 μB per atom. As for the raw formation energy: -2.9047 eV/atom.



Record 3
First-principles (GGA-PBE) data for KBO2F after structural relaxation, as listed in Alexandria via LeMat-Bulk.

The space group is P4/mmm (No. 123) and the conventional cell measures 4.8907, 4.8907 and 4.7978 Å, with angles of 90.00, 90.00 and 90.00 degrees. The inequivalent atoms are K at (0.0000, 0.0000, 0.0000), B at (0.5000, 0.5000, 0.5000), O at (0.0000, 0.5000, 0.0000) and F at (0.0000, 0.0000, 0.5000).

Its density of states at the Fermi level is 8.82 states/eV/f.u. Its raw total energy is -2.78 eV per atom. Its total moment is 0.600 μB per atom. As for the raw formation energy: 1.1363 eV/atom.



Record 4
First-principles (GGA-PBE) data for KZn2AsBr after structural relaxation, as listed in Alexandria via LeMat-Bulk.

The space group is P4/mmm (No. 123) and the conventional cell measures 7.1256, 7.1256 and 6.0020 Å, with angles of 90.00, 90.00 and 90.00 degrees. The inequivalent atoms are K at (0.0000, 0.0000, 0.0000), Zn at (0.0000, 0.5000, 0.0000), As at (0.5000, 0.5000, 0.5000) and Br at (0.0000, 0.0000, 0.5000).

Its density of states at the Fermi level is 0.00 states/eV/f.u. Its raw total energy is -1.53 eV per atom. Its total moment is 0.600 μB per atom. As for the raw formation energy: 0.4670 eV/atom.



Record 5
First-principles (GGA-PBE) data for CaTc2C after structural relaxation, as listed in Alexandria via LeMat-Bulk.

The space group is I-42d (No. 122) and the conventional cell measures 6.0607, 6.0607 and 8.9640 Å, with angles of 90.00, 90.00 and 90.00 degrees. The inequivalent atoms are Ca at (0.0000, 0.0000, 0.0000), Tc at (0.0412, 0.2500, 0.6250) and C at (0.0000, 0.0000, 0.5000).

Its density of states at the Fermi level is 2.38 states/eV/f.u. Its raw total energy is -7.32 eV per atom. Its total moment is 0.473 μB per atom.



Record 6
First-principles (GGA-PBE) data for Dy8Zn3Se4S after structural relaxation, as listed in Alexandria via LeMat-Bulk.

The space group is R-3m (No. 166, hexagonal axes) and the conventional cell measures 8.0253, 8.0253 and 20.6996 Å, with angles of 90.00, 90.00 and 120.00 degrees. The inequivalent atoms are Dy at (0.0000, 0.0000, 0.2484), Dy at (0.0045, 0.5023, 0.7483), Zn at (0.0000, 0.5000, 0.0000), Se at (0.0000, 0.0000, 0.5000), Se at (0.0000, 0.5000, 0.5000) and S at (0.0000, 0.0000, 0.0000).

Its density of states at the Fermi level is 9.17 states/eV/f.u. Its raw total energy is -4.88 eV per atom. Its total moment is 0.000 μB per atom. As for the raw formation energy: -1.2106 eV/atom.